DFT (PBEsol) results for Te2OsSe after structural relaxation.

formation energy from raw total energies	0.295	eV/atom
M_tot	0.000	Bohr magnetons per cell

Cell and atoms, written as POSCAR:
```
Te2OsSe
1.0
-0.443 -2.308 -1.946
-0.125 -1.951 2.342
-9.610 1.338 0.600
Os Se Te
1 1 2
direct
0.000 0.000 0.520 Os
0.500 0.500 0.668 Se
0.000 0.000 0.991 Te
0.500 0.500 0.321 Te
```